This record from the Alexandria database describes a relaxed CrCuPd3 crystal. The functional is PBEsol.

The structure in POSCAR format:
```
CrCuPd3
1.0
4.4714 0.0000 0.0000
0.0000 4.4714 0.0000
0.0000 0.0000 4.4714
Cr Cu Pd
1 1 3
Direct
0.0000 0.0000 0.0000
0.5000 0.5000 0.5000
0.0000 0.5000 0.5000
0.5000 0.0000 0.5000
0.5000 0.5000 0.0000
```

Values from the calculation:
* ΔE_f: 0.9582 eV per atom
* space group: Pm-3m
* magnetization: 4.08 μB/f.u.
* ρ: 8.08 g/cm³